Entry from Alexandria via LeMat-Bulk: an optimized crystal structure of Ga3RuAu (PBE-GGA).

As for the uncorrected energy: -4.245 eV per atom. The calculation puts the total magnetization at 0.000 μB/cell. The value obtained for the formation energy is 0.0817 eV per atom. For the volume, the calculation gives 108 Å³/cell.

It has space group Pm-3m (No. 221), with a = 4.767 Å, b = 4.767 Å, c = 4.767 Å, α = 90.00°, β = 90.00° and γ = 90.00°. Symmetry generates all atoms from Ga at (0.000, 0.000, 0.500), Ru at (0.000, 0.000, 0.000) and Au at (0.500, 0.500, 0.500).